Record 1
VASP calculation (GGA-PBEsol) on a geometry-optimized MgSeIBr2 structure.

## Properties
theoretical density = 3.75 Mg/m³
E_tot = -1.973 eV/atom

Lattice parameters (Å, degrees): 5.6882 5.6882 5.3386 90.00 90.00 90.00
Space group P4/mmm (No. 123)
Symmetry-distinct sites (fractional):
Mg 0.0000 0.0000 0.0000 (multiplicity 1)
Se 0.5000 0.5000 0.0000 (multiplicity 1)
I 0.5000 0.5000 0.5000 (multiplicity 1)
Br 0.0000 0.5000 0.5000 (multiplicity 2)


Record 2
VASP calculation (GGA-PBEsol) on a geometry-optimized AgPb7 structure.

## Properties
formation energy from the elements = 71 meV/atom
theoretical density = 11.53 Mg/m³
E_tot = -3.842 eV/atom

Lattice parameters (Å, degrees): 9.6460 9.6460 9.6460 90.00 90.00 90.00
Space group Fm-3m (No. 225)
Symmetry-distinct sites (fractional):
Ag 0.0000 0.0000 0.0000 (multiplicity 4)
Pb 0.0000 0.0000 0.5000 (multiplicity 4)
Pb 0.0000 0.2500 0.2500 (multiplicity 24)


Record 3
VASP calculation (GGA-PBEsol) on a geometry-optimized InHgRu2 structure.

## Properties
formation energy from the elements = 427 meV/atom
theoretical density = 12.97 Mg/m³
E_tot = -5.547 eV/atom

Lattice parameters (Å, degrees): 8.9432 2.9570 5.1163 90.00 101.54 90.00
Space group C2/m (No. 12)
Symmetry-distinct sites (fractional):
In 0.0000 0.0000 0.0000 (multiplicity 2)
Hg 0.0000 0.5000 0.5000 (multiplicity 2)
Ru 0.2462 0.5000 0.2289 (multiplicity 4)


Record 4
VASP calculation (GGA-PBEsol) on a geometry-optimized PrNiB4 structure.

## Properties
formation energy from the elements = -560 meV/atom
theoretical density = 6.42 Mg/m³
E_tot = -7.128 eV/atom

Lattice parameters (Å, degrees): 7.6352 7.6352 8.6199 90.00 90.00 90.00
Space group I4/mmm (No. 139)
Symmetry-distinct sites (fractional):
Pr 0.0000 0.0000 0.2045 (multiplicity 4)
Pr 0.0000 0.5000 0.2500 (multiplicity 4)
Ni 0.0000 0.2271 0.5000 (multiplicity 8)
B 0.1129 0.2771 0.0000 (multiplicity 16)
B 0.2337 0.2337 0.3487 (multiplicity 16)


Record 5
VASP calculation (GGA-PBEsol) on a geometry-optimized CdCo4Pt structure.

## Properties
formation energy from the elements = 131 meV/atom
theoretical density = 11.93 Mg/m³
E_tot = -6.388 eV/atom

Lattice parameters (Å, degrees): 6.7119 6.7119 6.7119 90.00 90.00 90.00
Space group F-43m (No. 216)
Symmetry-distinct sites (fractional):
Cd 0.0000 0.0000 0.0000 (multiplicity 4)
Co 0.1247 0.1247 0.6247 (multiplicity 16)
Pt 0.2500 0.2500 0.2500 (multiplicity 4)


Record 6
VASP calculation (GGA-PBEsol) on a geometry-optimized NaNb2IN structure.

## Properties
theoretical density = 6.20 Mg/m³
E_tot = -6.640 eV/atom

Lattice parameters (Å, degrees): 4.1804 4.1804 5.3586 90.00 90.00 90.00
Space group P4/mmm (No. 123)
Symmetry-distinct sites (fractional):
Na 0.0000 0.0000 0.0000 (multiplicity 1)
Nb 0.0000 0.5000 0.5000 (multiplicity 2)
I 0.5000 0.5000 0.0000 (multiplicity 1)
N 0.0000 0.0000 0.5000 (multiplicity 1)


Record 7
VASP calculation (GGA-PBEsol) on a geometry-optimized CuSi2Ni structure.

## Properties
theoretical density = 6.22 Mg/m³
E_tot = -5.706 eV/atom

Lattice parameters (Å, degrees): 3.0270 3.3483 4.7001 90.00 90.00 90.00
Space group Pmm2 (No. 25)
Symmetry-distinct sites (fractional):
Cu 0.0000 0.0000 0.0000 (multiplicity 1)
Si 0.0000 0.0000 0.4946 (multiplicity 1)
Si 0.5000 0.5000 0.7854 (multiplicity 1)
Ni 0.5000 0.5000 0.2933 (multiplicity 1)


Record 8
VASP calculation (GGA-PBEsol) on a geometry-optimized Y2Cl structure.

## Properties
theoretical density = 4.74 Mg/m³
E_tot = -6.188 eV/atom

Lattice parameters (Å, degrees): 3.6532 14.5904 5.6015 90.00 90.00 90.00
Space group Cmcm (No. 63)
Symmetry-distinct sites (fractional):
Y 0.0000 0.0497 0.2500 (multiplicity 4)
Y 0.0000 0.3481 0.2500 (multiplicity 4)
Cl 0.0000 0.3017 0.7500 (multiplicity 4)


Record 9
VASP calculation (GGA-PBEsol) on a geometry-optimized Ho3CuSiSe7 structure.

## Properties
theoretical density = 7.21 Mg/m³
E_tot = -5.652 eV/atom

Lattice parameters (Å, degrees): 10.1474 10.1474 5.8804 90.00 90.00 120.00
Space group P6_3 (No. 173)
Symmetry-distinct sites (fractional):
Ho 0.1320 0.7764 0.0000 (multiplicity 6)
Cu 0.0000 0.0000 0.0390 (multiplicity 2)
Si 0.3333 0.6667 0.4117 (multiplicity 2)
Se 0.0969 0.5190 0.2545 (multiplicity 6)
Se 0.0993 0.8363 0.5231 (multiplicity 6)
Se 0.3333 0.6667 0.7950 (multiplicity 2)


Record 10
VASP calculation (GGA-PBEsol) on a geometry-optimized PtRh3Cl structure.

## Properties
theoretical density = 8.35 Mg/m³
E_tot = -5.004 eV/atom

Lattice parameters (Å, degrees): 4.7509 4.7509 4.7509 90.00 90.00 90.00
Space group Pm-3m (No. 221)
Symmetry-distinct sites (fractional):
Pt 0.0000 0.0000 0.0000 (multiplicity 1)
Rh 0.0000 0.0000 0.5000 (multiplicity 3)
Cl 0.5000 0.5000 0.5000 (multiplicity 1)


Record 11
VASP calculation (GGA-PBEsol) on a geometry-optimized LaAlPb structure.

## Properties
formation energy from the elements = -257 meV/atom
theoretical density = 7.75 Mg/m³
E_tot = -4.736 eV/atom

Lattice parameters (Å, degrees): 4.9062 5.6148 11.6038 90.00 90.00 90.00
Space group Fmm2 (No. 42)
Symmetry-distinct sites (fractional):
La 0.0000 0.0000 0.0000 (multiplicity 4)
Al 0.0000 0.0000 0.6740 (multiplicity 4)
Pb 0.0000 0.0000 0.3006 (multiplicity 4)


Record 12
VASP calculation (GGA-PBEsol) on a geometry-optimized BeTeAs structure.

## Properties
theoretical density = 5.75 Mg/m³
E_tot = -3.964 eV/atom

Lattice parameters (Å, degrees): 3.2257 3.2257 11.7434 90.00 90.00 90.00
Space group I4mm (No. 107)
Symmetry-distinct sites (fractional):
Be 0.0000 0.0000 0.0000 (multiplicity 2)
Te 0.0000 0.0000 0.7874 (multiplicity 2)
As 0.0000 0.0000 0.5429 (multiplicity 2)


Record 13
VASP calculation (GGA-PBEsol) on a geometry-optimized RuWAu structure.

## Properties
formation energy from the elements = 213 meV/atom
theoretical density = 17.35 Mg/m³
E_tot = -9.088 eV/atom

Lattice parameters (Å, degrees): 2.8377 2.8377 11.4526 90.00 90.00 90.00
Space group I4mm (No. 107)
Symmetry-distinct sites (fractional):
Ru 0.0000 0.0000 0.0000 (multiplicity 2)
W 0.0000 0.0000 0.3564 (multiplicity 2)
Au 0.0000 0.0000 0.6778 (multiplicity 2)


Record 14
VASP calculation (GGA-PBEsol) on a geometry-optimized TaCo2 structure.

## Properties
formation energy from the elements = -260 meV/atom
theoretical density = 13.58 Mg/m³
E_tot = -9.602 eV/atom

Lattice parameters (Å, degrees): 6.6362 6.6362 6.6362 90.00 90.00 90.00
Space group Fd-3m (No. 227, origin choice 2)
Symmetry-distinct sites (fractional):
Ta 0.1250 0.1250 0.1250 (multiplicity 8)
Co 0.0000 0.0000 0.5000 (multiplicity 16)


Record 15
VASP calculation (GGA-PBEsol) on a geometry-optimized Sc2ZnI structure.

## Properties
theoretical density = 4.58 Mg/m³
E_tot = -3.976 eV/atom

Lattice parameters (Å, degrees): 3.4193 3.4193 30.3160 90.00 90.00 120.00
Space group R-3m (No. 166, hexagonal axes)
Symmetry-distinct sites (fractional):
Sc 0.0000 0.0000 0.0915 (multiplicity 6)
Zn 0.0000 0.0000 0.0000 (multiplicity 3)
I 0.0000 0.0000 0.5000 (multiplicity 3)


Record 16
VASP calculation (GGA-PBEsol) on a geometry-optimized YSc2Ag structure.

## Properties
formation energy from the elements = -95 meV/atom
theoretical density = 5.14 Mg/m³
E_tot = -5.931 eV/atom

Lattice parameters (Å, degrees): 3.4136 3.4136 7.9409 90.00 90.00 90.00
Space group P4/mmm (No. 123)
Symmetry-distinct sites (fractional):
Y 0.0000 0.0000 0.0000 (multiplicity 1)
Sc 0.5000 0.5000 0.2924 (multiplicity 2)
Ag 0.0000 0.0000 0.5000 (multiplicity 1)


Record 17
VASP calculation (GGA-PBEsol) on a geometry-optimized In2HgSe structure.

## Properties
theoretical density = 8.82 Mg/m³
E_tot = -2.773 eV/atom

Lattice parameters (Å, degrees): 3.6052 3.6052 7.3786 90.00 90.00 90.00
Space group P4/mmm (No. 123)
Symmetry-distinct sites (fractional):
In 0.0000 0.0000 0.2311 (multiplicity 2)
Hg 0.5000 0.5000 0.5000 (multiplicity 1)
Se 0.5000 0.5000 0.0000 (multiplicity 1)


Record 18
VASP calculation (GGA-PBEsol) on a geometry-optimized B13H19 structure.

## Properties
theoretical density = 0.99 Mg/m³
E_tot = -4.845 eV/atom

Lattice parameters (Å, degrees): 8.9464 6.3568 18.9914 90.00 96.84 90.00
Space group P2_1/c (No. 14)
Symmetry-distinct sites (fractional):
B 0.0159 0.0418 0.3576 (multiplicity 4)
B 0.0509 0.6885 0.6346 (multiplicity 4)
B 0.0798 0.6777 0.2138 (multiplicity 4)
B 0.0925 0.2021 0.4332 (multiplicity 4)
B 0.1012 0.0349 0.9079 (multiplicity 4)
B 0.2107 0.0519 0.3875 (multiplicity 4)
B 0.2121 0.6459 0.6919 (multiplicity 4)
B 0.2365 0.6575 0.6008 (multiplicity 4)
B 0.2613 0.1941 0.9143 (multiplicity 4)
B 0.2755 0.6080 0.2288 (multiplicity 4)
B 0.3383 0.6110 0.0858 (multiplicity 4)
B 0.3666 0.0306 0.6646 (multiplicity 4)
B 0.3795 0.7407 0.1653 (multiplicity 4)
H 0.0112 0.7193 0.2630 (multiplicity 4)
H 0.0198 0.0032 0.8479 (multiplicity 4)
H 0.0387 0.1172 0.6218 (multiplicity 4)
H 0.0684 0.1596 0.4924 (multiplicity 4)
H 0.0938 0.6097 0.4474 (multiplicity 4)
H 0.1343 0.0043 0.3238 (multiplicity 4)
H 0.1972 0.6776 0.0602 (multiplicity 4)
H 0.2238 0.0180 0.8747 (multiplicity 4)
H 0.2324 0.0215 0.2216 (multiplicity 4)
H 0.2472 0.0776 0.6992 (multiplicity 4)
H 0.2554 0.5102 0.5635 (multiplicity 4)
H 0.2848 0.0801 0.6026 (multiplicity 4)
H 0.2885 0.5929 0.9088 (multiplicity 4)
H 0.2977 0.1938 0.3582 (multiplicity 4)
H 0.3349 0.5847 0.2885 (multiplicity 4)
H 0.3735 0.1565 0.9530 (multiplicity 4)
H 0.4105 0.5851 0.0374 (multiplicity 4)
H 0.4641 0.1592 0.6759 (multiplicity 4)
H 0.4969 0.6708 0.6810 (multiplicity 4)


Record 19
VASP calculation (GGA-PBEsol) on a geometry-optimized TaC5 structure.

## Properties
formation energy from the elements = 2363 meV/atom
theoretical density = 7.11 Mg/m³
E_tot = -7.765 eV/atom

Lattice parameters (Å, degrees): 3.9787 3.9787 4.1083 90.00 90.00 120.00
Space group P-62m (No. 189)
Symmetry-distinct sites (fractional):
Ta 0.0000 0.0000 0.0000 (multiplicity 1)
C 0.0000 0.7833 0.5000 (multiplicity 3)
C 0.3333 0.6667 0.0000 (multiplicity 2)


Record 20
VASP calculation (GGA-PBEsol) on a geometry-optimized Cr3CF structure.

## Properties
theoretical density = 4.69 Mg/m³
E_tot = -8.018 eV/atom

Lattice parameters (Å, degrees): 4.0467 4.0467 4.0467 90.00 90.00 90.00
Space group Pm-3m (No. 221)
Symmetry-distinct sites (fractional):
Cr 0.0000 0.0000 0.5000 (multiplicity 3)
C 0.0000 0.0000 0.0000 (multiplicity 1)
F 0.5000 0.5000 0.5000 (multiplicity 1)